*a*
HfReSn2, relaxed, DFT PBE; space group = No. 225
1.0
0.0000 3.3918 3.3918
3.3918 0.0000 3.3918
3.3918 3.3918 0.0000
Hf Re Sn
1 1 2
Direct
0.0000 0.0000 0.0000
0.5000 0.5000 0.5000
0.2500 0.2500 0.2500
0.7500 0.7500 0.7500

=====

*b*
HfReSn2, relaxed, DFT PBE; space group = No. 122
1.0
-2.0530 2.0530 10.2639
2.0530 -2.0530 10.2639
2.0530 2.0530 -10.2639
Hf Re Sn
2 2 4
Direct
0.0000 0.0000 0.0000
0.7500 0.2500 0.5000
0.2500 0.7500 0.5000
0.5000 0.5000 0.0000
0.1271 0.6250 0.0021
0.3750 0.3771 0.5021
0.6229 0.1250 0.9979
0.8750 0.8729 0.4979

=====

Short version: *a*, *b*, most stable first.

=====

*a*
Sr3HfRe, relaxed, DFT PBE; space group = No. 221
1.0
5.7174 0.0000 0.0000
0.0000 5.7174 0.0000
0.0000 0.0000 5.7174
Sr Hf Re
3 1 1
Direct
0.0000 0.0000 0.5000
0.0000 0.5000 0.0000
0.5000 0.0000 0.0000
0.5000 0.5000 0.5000
0.0000 0.0000 0.0000

=====

*b*
Sr3HfRe, relaxed, DFT PBE; space group = No. 221
1.0
5.9545 0.0000 0.0000
0.0000 5.9545 0.0000
0.0000 0.0000 5.9545
Sr Hf Re
3 1 1
Direct
0.0000 0.0000 0.5000
0.0000 0.5000 0.0000
0.5000 0.0000 0.0000
0.0000 0.0000 0.0000
0.5000 0.5000 0.5000

=====

Short version: *a*, *b*, most stable first.

=====

*a*
SrHf3Re, relaxed, DFT PBE; space group = No. 221
1.0
5.1691 0.0000 0.0000
0.0000 5.1691 0.0000
0.0000 0.0000 5.1691
Sr Hf Re
1 3 1
Direct
0.0000 0.0000 0.0000
0.0000 0.5000 0.5000
0.5000 0.0000 0.5000
0.5000 0.5000 0.0000
0.5000 0.5000 0.5000

=====

*b*
SrHf3Re, relaxed, DFT PBE; space group = No. 221
1.0
4.8999 0.0000 0.0000
0.0000 4.8999 0.0000
0.0000 0.0000 4.8999
Sr Hf Re
1 3 1
Direct
0.0000 0.0000 0.0000
0.0000 0.0000 0.5000
0.0000 0.5000 0.0000
0.5000 0.0000 0.0000
0.5000 0.5000 0.5000

=====

Short version: *a*, *b*, most stable first.

=====

*a*
SrHfRe2, relaxed, DFT PBE; space group = No. 225
1.0
0.0000 3.4033 3.4033
3.4033 0.0000 3.4033
3.4033 3.4033 0.0000
Sr Hf Re
1 1 2
Direct
0.0000 0.0000 0.0000
0.5000 0.5000 0.5000
0.2500 0.2500 0.2500
0.7500 0.7500 0.7500

=====

*b*
SrHfRe2, relaxed, DFT PBE; space group = No. 122
1.0
-2.4375 2.4375 9.2936
2.4375 -2.4375 9.2936
2.4375 2.4375 -9.2936
Sr Hf Re
2 2 4
Direct
0.0000 0.0000 0.0000
0.7500 0.2500 0.5000
0.2500 0.7500 0.5000
0.5000 0.5000 0.0000
0.3260 0.6250 0.2010
0.3750 0.5760 0.7010
0.4240 0.1250 0.7990
0.8750 0.6740 0.2990

=====

Short version: *a*, *b*, most stable first.

=====

*a*
Sr2HfRe, relaxed, DFT PBE; space group = No. 225
1.0
0.0000 3.7604 3.7604
3.7604 0.0000 3.7604
3.7604 3.7604 0.0000
Sr Hf Re
2 1 1
Direct
0.2500 0.2500 0.2500
0.7500 0.7500 0.7500
0.0000 0.0000 0.0000
0.5000 0.5000 0.5000

=====

*b*
Sr2HfRe, relaxed, DFT PBE; space group = No. 122
1.0
-5.7818 5.7818 2.4544
5.7818 -5.7818 2.4544
5.7818 5.7818 -2.4544
Sr Hf Re
4 2 2
Direct
0.3750 0.2129 0.3379
0.7871 0.1250 0.1621
0.8750 0.0371 0.6621
0.9629 0.6250 0.8379
0.2500 0.7500 0.5000
0.5000 0.5000 0.0000
0.0000 0.0000 0.0000
0.7500 0.2500 0.5000

=====

Short version: *b*, *a*, most stable first.

=====

*a*
SrHf2Re, relaxed, DFT PBE; space group = No. 225
1.0
0.0000 3.5054 3.5054
3.5054 0.0000 3.5054
3.5054 3.5054 0.0000
Sr Hf Re
1 2 1
Direct
0.0000 0.0000 0.0000
0.2500 0.2500 0.2500
0.7500 0.7500 0.7500
0.5000 0.5000 0.5000

=====

*b*
SrHf2Re, relaxed, DFT PBE; space group = No. 141
1.0
-2.8473 2.8473 8.5024
2.8473 -2.8473 8.5024
2.8473 2.8473 -8.5024
Sr Hf Re
2 4 2
Direct
0.3750 0.6250 0.7500
0.6250 0.3750 0.2500
0.0000 0.0000 0.0000
0.0000 0.0000 0.5000
0.0000 0.5000 0.0000
0.5000 0.0000 0.5000
0.1250 0.8750 0.2500
0.8750 0.1250 0.7500

=====

Short version: *a*, *b*, most stable first.

=====

*a*
Hf2TaRe, relaxed, DFT PBE; space group = No. 225
1.0
0.0000 3.3391 3.3391
3.3391 0.0000 3.3391
3.3391 3.3391 0.0000
Hf Ta Re
2 1 1
Direct
0.2500 0.2500 0.2500
0.7500 0.7500 0.7500
0.0000 0.0000 0.0000
0.5000 0.5000 0.5000

=====

*b*
Hf2TaRe, relaxed, DFT PBE; space group = No. 123
1.0
3.2665 0.0000 0.0000
0.0000 3.2665 0.0000
0.0000 0.0000 7.0854
Hf Ta Re
2 1 1
Direct
0.0000 0.0000 0.2263
0.0000 0.0000 0.7737
0.5000 0.5000 0.5000
0.5000 0.5000 0.0000

=====

*c*
Hf2TaRe, relaxed, DFT PBE; space group = No. 122
1.0
-3.8043 3.8043 2.8130
3.8043 -3.8043 2.8130
3.8043 3.8043 -2.8130
Hf Ta Re
4 2 2
Direct
0.0948 0.1250 0.4698
0.3750 0.9052 0.0302
0.6552 0.6250 0.5302
0.8750 0.3448 0.9698
0.2500 0.7500 0.5000
0.5000 0.5000 0.0000
0.0000 0.0000 0.0000
0.7500 0.2500 0.5000

=====

*d*
Hf2TaRe, relaxed, DFT PBE; space group = No. 123
1.0
4.7219 0.0000 0.0000
0.0000 4.7219 0.0000
0.0000 0.0000 3.3529
Hf Ta Re
2 1 1
Direct
0.0000 0.5000 0.0000
0.5000 0.0000 0.0000
0.0000 0.0000 0.5000
0.5000 0.5000 0.5000

=====

Short version: *b*, *d*, *a*, *c*, most stable first.

=====

*a*
Hf3TaRe, relaxed, DFT PBE; space group = No. 221
1.0
4.9550 0.0000 0.0000
0.0000 4.9550 0.0000
0.0000 0.0000 4.9550
Hf Ta Re
3 1 1
Direct
0.0000 0.0000 0.5000
0.0000 0.5000 0.0000
0.5000 0.0000 0.0000
0.5000 0.5000 0.5000
0.0000 0.0000 0.0000

=====

*b*
Hf3TaRe, relaxed, DFT PBE; space group = No. 221
1.0
4.9380 0.0000 0.0000
0.0000 4.9380 0.0000
0.0000 0.0000 4.9380
Hf Ta Re
3 1 1
Direct
0.0000 0.0000 0.5000
0.0000 0.5000 0.0000
0.5000 0.0000 0.0000
0.0000 0.0000 0.0000
0.5000 0.5000 0.5000

=====

Short version: *a*, *b*, most stable first.

=====

*a*
HfTaRe, relaxed, DFT PBE; space group = No. 74
1.0
-2.6714 2.7679 3.7830
2.6714 -2.7679 3.7830
2.6714 2.7679 -3.7830
Hf Ta Re
2 2 2
Direct
0.3716 0.1216 0.2500
0.6284 0.8784 0.7500
0.0000 0.5000 0.5000
0.5000 0.5000 0.0000
0.0000 0.0000 0.5000
0.0000 0.5000 0.0000

=====

*b*
HfTaRe, relaxed, DFT PBE; space group = No. 38
1.0
8.8110 0.0000 0.0000
0.0000 2.7332 4.6533
0.0000 -2.7332 4.6533
Hf Ta Re
4 4 4
Direct
0.1810 0.0000 0.0000
0.3026 0.6660 0.6660
0.6974 0.6660 0.6660
0.8190 0.0000 0.0000
0.2419 0.3306 0.3306
0.5000 0.1664 0.6755
0.5000 0.6755 0.1664
0.7581 0.3306 0.3306
0.0000 0.5061 0.5061
0.0000 0.5056 0.9891
0.0000 0.9891 0.5056
0.5000 0.1667 0.1667

=====

*c*
HfTaRe, relaxed, DFT PBE; space group = No. 107
1.0
-1.6249 1.6249 5.0925
1.6249 -1.6249 5.0925
1.6249 1.6249 -5.0925
Hf Ta Re
1 1 1
Direct
0.0000 0.0000 0.0000
0.3117 0.3117 0.0000
0.6670 0.6670 0.0000

=====

Short version: *a*, *b*, *c*, most stable first.

=====

*a*
HfTa3Re, relaxed, DFT PBE; space group = No. 221
1.0
4.8505 0.0000 0.0000
0.0000 4.8505 0.0000
0.0000 0.0000 4.8505
Hf Ta Re
1 3 1
Direct
0.0000 0.0000 0.0000
0.0000 0.5000 0.5000
0.5000 0.0000 0.5000
0.5000 0.5000 0.0000
0.5000 0.5000 0.5000

=====

*b*
HfTa3Re, relaxed, DFT PBE; space group = No. 221
1.0
4.7770 0.0000 0.0000
0.0000 4.7770 0.0000
0.0000 0.0000 4.7770
Hf Ta Re
1 3 1
Direct
0.0000 0.0000 0.0000
0.0000 0.0000 0.5000
0.0000 0.5000 0.0000
0.5000 0.0000 0.0000
0.5000 0.5000 0.5000

=====

Short version: *a*, *b*, most stable first.

=====

*a*
HfRe2Tc, relaxed, DFT PBE; space group = No. 225
1.0
0.0000 3.1804 3.1804
3.1804 0.0000 3.1804
3.1804 3.1804 0.0000
Hf Re Tc
1 2 1
Direct
0.0000 0.0000 0.0000
0.2500 0.2500 0.2500
0.7500 0.7500 0.7500
0.5000 0.5000 0.5000

=====

*b*
HfRe2Tc, relaxed, DFT PBE; space group = No. 122
1.0
-3.6880 3.6880 2.6118
3.6880 -3.6880 2.6118
3.6880 3.6880 -2.6118
Hf Re Tc
2 4 2
Direct
0.0000 0.0000 0.0000
0.7500 0.2500 0.5000
0.1563 0.6250 0.0313
0.3750 0.4063 0.5313
0.5937 0.1250 0.9687
0.8750 0.8437 0.4687
0.2500 0.7500 0.5000
0.5000 0.5000 0.0000

=====

Short version: *a*, *b*, most stable first.

=====

*a*
Hf2Ti2Re, relaxed, DFT PBE; space group = No. 139
1.0
-1.6948 1.6948 8.5713
1.6948 -1.6948 8.5713
1.6948 1.6948 -8.5713
Hf Ti Re
2 2 1
Direct
0.0891 0.0891 0.0000
0.9109 0.9109 0.0000
0.2500 0.7500 0.5000
0.7500 0.2500 0.5000
0.5000 0.5000 0.0000

=====

*b*
Hf2Ti2Re, relaxed, DFT PBE; space group = No. 127
1.0
6.3601 0.0000 0.0000
0.0000 6.3601 0.0000
0.0000 0.0000 4.7504
Hf Ti Re
4 4 2
Direct
0.1665 0.3335 0.0000
0.3335 0.8335 0.0000
0.6665 0.1665 0.0000
0.8335 0.6665 0.0000
0.1465 0.6465 0.5000
0.3535 0.1465 0.5000
0.6465 0.8535 0.5000
0.8535 0.3535 0.5000
0.0000 0.0000 0.5000
0.5000 0.5000 0.5000

=====

Short version: *b*, *a*, most stable first.